Entry 1:
Material: Ca2Sn4Hg
Method: DFT, PBE
State: optimized geometry

Results
The calculation puts the total energy at -3.263 eV/atom. The space group is C2/m (12). The formation energy comes out at -0.3608 eV per atom. For the density of states at the Fermi level, the calculation gives 2.864 states/eV per cell. Its total magnetic moment is 0.0 μB per formula unit.

Unit cell a=6.383 b=6.383 c=6.716 alpha=118.61 beta=118.61 gamma=90.24
Sites, in units of the cell vectors:
Ca1 0.286 0.786 0.571
Ca2 0.786 0.286 0.571
Sn1 0.786 0.286 0.071
Sn2 0.286 0.286 0.071
Sn3 0.786 0.786 0.072
Sn4 0.286 0.786 0.071
Hg1 0.786 0.786 0.572


Entry 2:
Material: Ho4Sc2Tl
Method: DFT, PBE
State: optimized geometry

Results
The calculation puts the total energy at -4.762 eV/atom. The space group is P2_1/m (11). The formation energy comes out at 0.0008 eV per atom. For the density of states at the Fermi level, the calculation gives 21.222 states/eV per cell. Its total magnetic moment is 1.1 μB per formula unit.

Unit cell a=5.335 b=6.666 c=11.545 alpha=90.00 beta=103.41 gamma=90.00
Sites, in units of the cell vectors:
Ho1 0.210 0.750 0.421
Ho2 0.069 0.250 0.141
Ho3 0.790 0.250 0.579
Ho4 0.647 0.491 0.295
Ho5 0.931 0.750 0.859
Ho6 0.353 0.509 0.705
Ho7 0.353 0.991 0.705
Ho8 0.647 0.009 0.295
Sc1 0.217 0.250 0.433
Sc2 0.484 0.250 0.972
Sc3 0.783 0.750 0.567
Sc4 0.516 0.750 0.028
Tl1 0.075 0.750 0.147
Tl2 0.925 0.250 0.853


Entry 3:
Material: Ho4Tl2Ag
Method: DFT, PBE
State: optimized geometry

Results
The calculation puts the total energy at -3.842 eV/atom. The space group is P2_1/m (11). The formation energy comes out at -0.1430 eV per atom. The calculation puts the relative energy among the computed polymorphs at 0.062 eV per atom. For the density of states at the Fermi level, the calculation gives 13.451 states/eV per cell. Its total magnetic moment is 0.0 μB per formula unit.

Unit cell a=6.998 b=6.697 c=9.369 alpha=90.00 beta=114.94 gamma=90.00
Sites, in units of the cell vectors:
Ag1 0.211 0.750 0.215
Ag2 0.789 0.250 0.785
Ho1 0.449 0.509 0.773
Ho2 0.028 0.750 0.850
Ho3 0.449 0.991 0.773
Ho4 0.965 0.250 0.551
Ho5 0.035 0.750 0.449
Ho6 0.972 0.250 0.150
Ho7 0.551 0.491 0.227
Ho8 0.551 0.009 0.227
Tl1 0.768 0.750 0.062
Tl2 0.393 0.250 0.464
Tl3 0.232 0.250 0.938
Tl4 0.607 0.750 0.536